1.
An optimized crystal structure of Al10Re3, computed with PBE.

Lattice parameters (Å, degrees): 4.9688 4.9688 28.0018 90.00 90.00 120.00
Space group R-3m (No. 166, hexagonal axes)
Inequivalent atoms, fractional coordinates:
1 Al 0.0000 0.0000 0.1542 x6
2 Al 0.0000 0.0000 0.3352 x6
3 Al 0.0021 0.5011 0.9100 x18
4 Re 0.0000 0.0000 0.0430 x6
5 Re 0.0000 0.0000 0.5000 x3

Results
* ΔE to the lowest computed polymorph: 0.0 kJ per mole of atoms

***

2.
An optimized crystal structure of HoTlZnS3, computed with PBE.

Lattice parameters (Å, degrees): 8.057 3.957 10.270 90.00 109.68 90.00
Space group P2_1/m (No. 11)
Inequivalent atoms, fractional coordinates:
1 Ho 0.190 0.250 0.138 x2
2 Tl 0.228 0.750 0.715 x2
3 Zn 0.424 0.750 0.392 x2
4 S 0.046 0.250 0.862 x2
5 S 0.282 0.250 0.436 x2
6 S 0.432 0.750 0.168 x2

Results
* ΔE to the lowest computed polymorph: 2.0 kJ per mole of atoms

***

3.
An optimized crystal structure of SrAu, computed with PBE.

Lattice parameters (Å, degrees): 4.1426 4.1426 4.1638 90.00 90.00 120.00
Space group P-6m2 (No. 187)
Inequivalent atoms, fractional coordinates:
1 Sr 0.0000 0.0000 0.0000 x1
2 Au 0.3333 0.6667 0.5000 x1

***

It is found that the final energy values, taken in the order of the records, are -5.795; -4.637; -3.082 eV/atom.